The following is a DFT calculation (PBE) of Zn5PdAu6 after structural relaxation.

Properties
**ΔE_f**: -21.5 kJ/mol of atoms

a = 4.2195 Å, b = 7.2292 Å, c = 6.7403 Å
α = 90.00°, β = 106.98°, γ = 90.00°
Last column: nearest neighbours and their distance in Å.
Positions (direct):
Au (0.8266, 0.7570, 0.6585)  7 Zn 2.72-2.94, 1 Pd 2.82, 3 Au 2.92-3.02
Au (0.5000, 0.2810, 0.0000)  6 Zn 2.64-2.77, 2 Pd 2.93
Au (0.5000, 0.7190, 0.0000)  6 Zn 2.64-2.77, 2 Pd 2.93
Au (0.1734, 0.2430, 0.3415)  7 Zn 2.72-2.94, 1 Pd 2.82, 3 Au 2.92-3.02
Au (0.8266, 0.2430, 0.6585)  7 Zn 2.72-2.94, 1 Pd 2.82, 3 Au 2.92-3.02
Au (0.1734, 0.7570, 0.3415)  7 Zn 2.72-2.94, 1 Pd 2.82, 3 Au 2.92-3.02
Zn (0.3520, 0.0000, 0.7080)  8 Au 2.76-2.94, 2 Pd 2.79-2.86
Zn (0.6781, 0.5000, 0.3505)  8 Au 2.72-2.81, 2 Zn 2.84-2.87
Zn (0.0000, 0.5000, 0.0000)  8 Au 2.64-2.88
Zn (0.3219, 0.5000, 0.6495)  8 Au 2.72-2.81, 2 Zn 2.84-2.87
Zn (0.6480, 0.0000, 0.2920)  8 Au 2.76-2.94, 2 Pd 2.79-2.86
Pd (0.0000, 0.0000, 0.0000)  4 Zn 2.79-2.86, 8 Au 2.82-2.93